# KErNp

KErNp after structural relaxation (GGA-PBE, OQMD).

a b c (Å): 5.8138 5.8138 5.8138
angles (deg): 60.00 60.00 60.00
Positions (direct):
K: 0.0000 0.0000 0.0000
Er: 0.2500 0.2500 0.2500
Np: 0.5000 0.5000 0.5000

V, Å³/f.u.: 139
Uncorrected energy, eV per atom: -4.496
Crystal system: cubic